[1]
Compound: Mg3ZnPd6
Source: Alexandria via LeMat-Bulk
Functional: PBE
Structure: relaxed

Lattice parameters (Å, degrees): 7.3071 7.3071 7.3071 106.70 106.70 106.70
Positions (direct):
Mg1 0.0302 0.2962 0.4166
Mg2 0.2962 0.4166 0.0302
Mg3 0.4166 0.0302 0.2962
Mg4 0.5834 0.9698 0.7038
Mg5 0.7038 0.5834 0.9698
Mg6 0.9698 0.7038 0.5834
Zn1 0.0000 0.0000 0.0000
Zn2 0.5000 0.5000 0.5000
Pd1 0.0193 0.9015 0.3169
Pd2 0.0985 0.6831 0.9807
Pd3 0.2354 0.6581 0.3723
Pd4 0.3169 0.0193 0.9015
Pd5 0.3419 0.6277 0.7646
Pd6 0.3723 0.2354 0.6581
Pd7 0.6277 0.7646 0.3419
Pd8 0.6581 0.3723 0.2354
Pd9 0.6831 0.9807 0.0985
Pd10 0.7646 0.3419 0.6277
Pd11 0.9015 0.3169 0.0193
Pd12 0.9807 0.0985 0.6831

Values from the calculation:
Energy relative to the lowest polymorph listed for this composition = 70 meV/atom
ΔE_f = -0.540 eV per atom

[2]
Compound: BeRu2Pt
Source: Alexandria via LeMat-Bulk
Functional: PBE
Structure: relaxed

Lattice parameters (Å, degrees): 2.7312 3.6142 5.4257 90.00 90.00 90.00
Positions (direct):
Be1 0.0000 0.0000 0.0000
Ru1 0.0000 0.0000 0.5168
Ru2 0.5000 0.5000 0.7303
Pt1 0.5000 0.5000 0.2065

Values from the calculation:
ΔE_f = -0.108 eV per atom

[3]
Compound: ErTh2Si3Ir4
Source: Alexandria via LeMat-Bulk
Functional: PBE
Structure: relaxed

Lattice parameters (Å, degrees): 4.1209 4.1209 11.1802 90.00 90.00 90.00
Positions (direct):
Er1 0.0000 0.0000 0.0000
Th1 0.0000 0.5000 0.7314
Th2 0.5000 0.0000 0.2686
Si1 0.0000 0.5000 0.3820
Si2 0.5000 0.0000 0.6180
Si3 0.5000 0.5000 0.0000
Ir1 0.0000 0.0000 0.5000
Ir2 0.0000 0.5000 0.1672
Ir3 0.5000 0.0000 0.8328
Ir4 0.5000 0.5000 0.5000

Values from the calculation:
Uncorrected formation energy = -963 kJ/mol of formula units

Please write out number 1 again, unchanged.
Compound: Mg3ZnPd6
Source: Alexandria via LeMat-Bulk
Functional: PBE
Structure: relaxed

Lattice parameters (Å, degrees): 7.3071 7.3071 7.3071 106.70 106.70 106.70
Positions (direct):
Mg1 0.0302 0.2962 0.4166
Mg2 0.2962 0.4166 0.0302
Mg3 0.4166 0.0302 0.2962
Mg4 0.5834 0.9698 0.7038
Mg5 0.7038 0.5834 0.9698
Mg6 0.9698 0.7038 0.5834
Zn1 0.0000 0.0000 0.0000
Zn2 0.5000 0.5000 0.5000
Pd1 0.0193 0.9015 0.3169
Pd2 0.0985 0.6831 0.9807
Pd3 0.2354 0.6581 0.3723
Pd4 0.3169 0.0193 0.9015
Pd5 0.3419 0.6277 0.7646
Pd6 0.3723 0.2354 0.6581
Pd7 0.6277 0.7646 0.3419
Pd8 0.6581 0.3723 0.2354
Pd9 0.6831 0.9807 0.0985
Pd10 0.7646 0.3419 0.6277
Pd11 0.9015 0.3169 0.0193
Pd12 0.9807 0.0985 0.6831

Values from the calculation:
Energy relative to the lowest polymorph listed for this composition = 70 meV/atom
ΔE_f = -0.540 eV per atom